[1]
Compound: RbHfF3
Source: Alexandria via LeMat-Bulk
Functional: GGA-PBE
Structure: optimized geometry

It has space group Pm-3m (No. 221), with a = 4.4551 Å, b = 4.4551 Å, c = 4.4551 Å, α = 90.00°, β = 90.00° and γ = 90.00°. Symmetry generates all atoms from Rb at (0.0000, 0.0000, 0.0000), Hf at (0.5000, 0.5000, 0.5000) and F at (0.0000, 0.5000, 0.5000).

As for the volume: 88 Å³ per cell. The value obtained for the density of states at the Fermi level is 5.28 states/eV per cell. The calculation puts the total magnetization at 0.356 μB/atom. As for the energy relative to the lowest polymorph listed for this composition: 0.000 eV per atom. The total energy is -5.71 eV/atom.

=====

[2]
Compound: Rb3HfF8
Source: Alexandria via LeMat-Bulk
Functional: GGA-PBE
Structure: optimized geometry

It has space group I-42m (No. 121), with a = 6.8332 Å, b = 6.8332 Å, c = 9.6648 Å, α = 90.00°, β = 90.00° and γ = 90.00°. Symmetry generates all atoms from Rb at (0.0000, 0.0000, 0.0000), Rb at (0.0000, 0.5000, 0.2500), Hf at (0.0000, 0.0000, 0.5000), F at (0.1213, 0.1213, 0.6853) and F at (0.2092, 0.2092, 0.4488).

As for the volume: 451 Å³ per cell. The value obtained for the density of states at the Fermi level is 13.13 states/eV per cell. The calculation puts the total magnetization at 0.084 μB/atom. The total energy is -5.36 eV/atom.